[1]
Entry from the Alexandria database: crystalline VInGeF2 at its relaxed geometry (PBE+U).

Properties
- SG = P4/mmm (123)
- crystal system = tetragonal
- E (eV/atom) = -4.09
- total moment (μB per cell) = 0.416

Cell: 4.2460 4.2460 5.4210 Å, 90.00 90.00 90.00°
Last column: nearest neighbours and their distance in Å.
Sites, in units of the cell vectors:
V 0.0000 0.0000 0.0000  2 Ge 2.71, 4 In 3.00
In 0.5000 0.5000 0.0000  4 V 3.00
Ge 0.0000 0.0000 0.5000  4 F 2.12
F 0.0000 0.5000 0.5000  2 Ge 2.12
F 0.5000 0.0000 0.5000  2 Ge 2.12

[2]
Entry from the Alexandria database: crystalline InGe2WF at its relaxed geometry (PBE+U).

Properties
- SG = P4/mmm (123)
- crystal system = tetragonal
- E (eV/atom) = -4.20
- total moment (μB per cell) = 0.000

Cell: 5.0575 5.0575 4.1210 Å, 90.00 90.00 90.00°
Last column: nearest neighbours and their distance in Å.
Sites, in units of the cell vectors:
In 0.0000 0.0000 0.0000  8 Ge 3.26, 4 F 3.58
Ge 0.0000 0.5000 0.5000  2 W 2.53
Ge 0.5000 0.0000 0.5000  2 W 2.53
W 0.5000 0.5000 0.5000  2 F 2.06
F 0.5000 0.5000 0.0000  2 W 2.06

The lowest total moment belongs to which entry? InGe2WF

The lowest E belongs to which entry? InGe2WF

Which of these has the lowest total moment? InGe2WF